Entry 1:
{
  "formula": "GaNiB2",
  "functional": "PBE-GGA",
  "state": "relaxed",
  "final_energy_ev_per_atom": -4.77,
  "dos_ef_per_ev_atom": 0.42,
  "formation_energy_ev_per_atom": 0.7669,
  "lattice": [[-4.674, 1.051, 1.732], [-1.589, -4.604, -1.493], [-2.163, -3.249, 3.629]],
  "species": ["Ga", "B", "B", "Ga", "Ni", "B", "Ni", "B"],
  "fractional_positions": [[0.000, 0.000, 0.000], [0.583, 0.125, 0.250], [0.875, 0.833, 0.750], [0.750, 0.250, 0.500], [0.250, 0.750, 0.500], [0.375, 0.417, 0.750], [0.500, 0.500, 0.000], [0.167, 0.625, 0.250]]
}

Entry 2:
{
  "formula": "GaNiB3",
  "functional": "PBE-GGA",
  "state": "relaxed",
  "final_energy_ev_per_atom": -3.68,
  "dos_ef_per_ev_atom": 0.51,
  "polymorph_energy_ev_per_atom": 1.017,
  "formation_energy_ev_per_atom": 2.0853,
  "lattice": [[4.038, 0.000, 0.000], [0.000, 4.038, 0.000], [0.000, 0.000, 4.038]],
  "species": ["B", "B", "Ga", "Ni", "B"],
  "fractional_positions": [[0.500, 0.000, 0.000], [0.000, 0.000, 0.500], [0.000, 0.000, 0.000], [0.500, 0.500, 0.500], [0.000, 0.500, 0.000]]
}

Entry 3:
{
  "formula": "GaNi5B2",
  "functional": "PBE-GGA",
  "state": "relaxed",
  "final_energy_ev_per_atom": -5.94,
  "dos_ef_per_ev_atom": 0.46,
  "formation_energy_ev_per_atom": -0.2771,
  "lattice": [[3.105, 0.000, 0.000], [1.552, 5.695, 1.003], [1.552, 2.670, 5.129]],
  "species": ["Ni", "Ni", "Ni", "Ni", "Ni", "B", "B", "Ga"],
  "fractional_positions": [[0.000, 0.500, 0.500], [0.653, 0.102, 0.592], [0.347, 0.408, 0.898], [0.653, 0.592, 0.102], [0.347, 0.898, 0.408], [0.197, 0.303, 0.303], [0.803, 0.697, 0.697], [0.000, 0.000, 0.000]]
}

Entry 4:
{
  "formula": "GaNi2B2",
  "functional": "PBE-GGA",
  "state": "relaxed",
  "final_energy_ev_per_atom": -5.69,
  "dos_ef_per_ev_atom": 0.22,
  "polymorph_energy_ev_per_atom": 0.000,
  "formation_energy_ev_per_atom": -0.1050,
  "lattice": [[2.769, 0.000, 0.000], [0.000, 2.769, 0.000], [1.385, 1.385, 6.459]],
  "species": ["Ni", "Ni", "B", "Ga", "B"],
  "fractional_positions": [[0.365, 0.365, 0.270], [0.635, 0.635, 0.730], [0.750, 0.250, 0.500], [0.000, 0.000, 0.000], [0.250, 0.750, 0.500]]
}

Entry 5:
{
  "formula": "GaNi2B",
  "functional": "PBE-GGA",
  "state": "relaxed",
  "final_energy_ev_per_atom": -5.47,
  "dos_ef_per_ev_atom": 0.54,
  "polymorph_energy_ev_per_atom": 0.000,
  "formation_energy_ev_per_atom": -0.1490,
  "lattice": [[2.574, 0.000, 0.000], [0.000, 2.574, 0.000], [0.000, 0.000, 6.152]],
  "species": ["B", "Ni", "Ni", "Ga"],
  "fractional_positions": [[0.500, 0.500, 0.000], [0.000, 0.000, 0.806], [0.000, 0.000, 0.194], [0.500, 0.500, 0.500]]
}

Entry 6:
{
  "formula": "GaNiB3",
  "functional": "PBE-GGA",
  "state": "relaxed",
  "final_energy_ev_per_atom": -4.70,
  "dos_ef_per_ev_atom": 0.53,
  "polymorph_energy_ev_per_atom": 0.000,
  "formation_energy_ev_per_atom": 1.0685,
  "lattice": [[3.861, 0.000, 0.000], [0.000, 3.861, 0.000], [0.000, 0.000, 3.861]],
  "species": ["Ni", "B", "Ga", "B", "B"],
  "fractional_positions": [[0.000, 0.000, 0.000], [0.500, 0.000, 0.000], [0.500, 0.500, 0.500], [0.000, 0.500, 0.000], [0.000, 0.000, 0.500]]
}

Entry 7:
{
  "formula": "GaNi2B",
  "functional": "PBE-GGA",
  "state": "relaxed",
  "final_energy_ev_per_atom": -5.22,
  "dos_ef_per_ev_atom": 0.50,
  "polymorph_energy_ev_per_atom": 0.245,
  "formation_energy_ev_per_atom": 0.0957,
  "lattice": [[0.000, 2.737, 2.737], [2.737, 0.000, 2.737], [2.737, 2.737, 0.000]],
  "species": ["B", "Ni", "Ni", "Ga"],
  "fractional_positions": [[0.000, 0.000, 0.000], [0.750, 0.750, 0.750], [0.250, 0.250, 0.250], [0.500, 0.500, 0.500]]
}

Entry 8:
{
  "formula": "Ga2Ni6B",
  "functional": "PBE-GGA",
  "state": "relaxed",
  "final_energy_ev_per_atom": -5.40,
  "dos_ef_per_ev_atom": 0.77,
  "formation_energy_ev_per_atom": -0.1347,
  "lattice": [[2.832, 0.000, -0.110], [0.000, 6.388, 0.000], [-1.190, -3.194, 5.943]],
  "species": ["B", "Ni", "Ni", "Ni", "Ga", "Ni", "Ni", "Ni", "Ga"],
  "fractional_positions": [[0.000, 0.000, 0.000], [0.832, 0.022, 0.665], [0.500, 0.787, 0.000], [0.168, 0.357, 0.335], [0.356, 0.356, 0.711], [0.168, 0.978, 0.335], [0.500, 0.213, 0.000], [0.832, 0.643, 0.665], [0.644, 0.644, 0.289]]
}

Entry 9:
{
  "formula": "Ga2NiB",
  "functional": "PBE-GGA",
  "state": "relaxed",
  "final_energy_ev_per_atom": -4.42,
  "dos_ef_per_ev_atom": 0.49,
  "formation_energy_ev_per_atom": 0.2091,
  "lattice": [[-3.512, 5.829, 3.513], [-4.360, 1.108, -6.198], [-5.275, 2.227, -0.622]],
  "species": ["Ga", "Ga", "B", "Ga", "Ni", "B", "Ga", "Ni"],
  "fractional_positions": [[0.257, 0.625, 0.250], [0.493, 0.125, 0.250], [0.500, 0.500, 0.000], [0.375, 0.507, 0.750], [0.000, 0.000, 0.000], [0.250, 0.750, 0.500], [0.875, 0.743, 0.750], [0.750, 0.250, 0.500]]
}

Entry 10:
{
  "formula": "GaNi2B",
  "functional": "PBE-GGA",
  "state": "relaxed",
  "final_energy_ev_per_atom": -4.97,
  "dos_ef_per_ev_atom": 0.33,
  "polymorph_energy_ev_per_atom": 0.497,
  "formation_energy_ev_per_atom": 0.3480,
  "lattice": [[-1.541, -1.421, -4.669], [2.691, -4.332, 0.430], [-2.904, -4.864, -0.367]],
  "species": ["Ni", "B", "Ga", "Ga", "B", "Ni", "Ni", "Ni"],
  "fractional_positions": [[0.538, 0.125, 0.250], [0.500, 0.500, 0.000], [0.000, 0.000, 0.000], [0.750, 0.250, 0.500], [0.250, 0.750, 0.500], [0.375, 0.462, 0.750], [0.212, 0.625, 0.250], [0.875, 0.788, 0.750]]
}

Entry 11:
{
  "formula": "GaNi11B5",
  "functional": "PBE-GGA",
  "state": "relaxed",
  "final_energy_ev_per_atom": -6.07,
  "dos_ef_per_ev_atom": 0.48,
  "formation_energy_ev_per_atom": -0.1845,
  "lattice": [[4.694, 0.610, -1.104], [-2.036, 5.587, -1.062], [0.341, 0.130, 6.030]],
  "species": ["Ni", "Ni", "Ga", "Ni", "Ni", "Ni", "Ni", "B", "B", "B", "B", "Ni", "Ni", "Ni", "Ni", "Ni", "B"],
  "fractional_positions": [[0.900, 0.809, 0.544], [0.100, 0.456, 0.191], [0.000, 0.000, 0.000], [0.323, 0.326, 0.867], [0.385, 0.670, 0.670], [0.677, 0.133, 0.674], [0.615, 0.330, 0.330], [0.282, 0.664, 0.996], [0.718, 0.004, 0.336], [0.282, 0.996, 0.664], [0.718, 0.336, 0.004], [0.500, 0.000, 0.000], [0.900, 0.544, 0.809], [0.323, 0.867, 0.326], [0.677, 0.674, 0.133], [0.100, 0.191, 0.456], [0.000, 0.500, 0.500]]
}

Entry 12:
{
  "formula": "GaNi5B",
  "functional": "PBE-GGA",
  "state": "relaxed",
  "final_energy_ev_per_atom": -5.76,
  "dos_ef_per_ev_atom": 1.22,
  "formation_energy_ev_per_atom": -0.2412,
  "lattice": [[3.496, 0.000, 0.000], [0.000, 3.496, 0.000], [0.000, 0.000, 6.108]],
  "species": ["B", "Ni", "Ni", "Ni", "Ga", "Ni", "Ni"],
  "fractional_positions": [[0.500, 0.500, 0.000], [0.500, 0.500, 0.500], [0.000, 0.500, 0.806], [0.000, 0.500, 0.194], [0.000, 0.000, 0.500], [0.500, 0.000, 0.194], [0.500, 0.000, 0.806]]
}